TiH3Pd | PBE | relaxed

Cell: 3.494 3.494 3.494 Å, 90.00 90.00 90.00°
Fractional positions:
Ti: 0.000 0.000 0.000
Pd: 0.500 0.500 0.500
H: 0.000 0.000 0.500
H: 0.500 0.000 0.000
H: 0.000 0.500 0.000

As for the total energy: -4.6296 eV per atom. Its crystal system is cubic.

***

Ti2TlHPd | PBE | relaxed

Cell: 4.156 4.156 4.165 Å, 90.00 90.00 90.00°
Fractional positions:
Ti: 0.500 0.000 0.000
Ti: 0.000 0.500 0.000
Tl: 0.500 0.500 0.500
H: 0.000 0.000 0.000
Pd: 0.000 0.000 0.500

As for the total energy: -5.5826 eV per atom. Its crystal system is tetragonal.

***

TiV2HPd | PBE | relaxed

Cell: 3.758 3.758 4.290 Å, 90.00 90.00 90.00°
Fractional positions:
Ti: 0.000 0.000 0.500
Pd: 0.500 0.500 0.500
H: 0.000 0.000 0.000
V: 0.000 0.500 0.000
V: 0.500 0.000 0.000

As for the total energy: -7.1209 eV per atom. Its crystal system is tetragonal.

***

TiZn2HPd | PBE | relaxed

Cell: 4.143 4.143 3.664 Å, 90.00 90.00 90.00°
Fractional positions:
H: 0.000 0.000 0.000
Ti: 0.000 0.000 0.500
Pd: 0.500 0.500 0.500
Zn: 0.500 0.000 0.000
Zn: 0.000 0.500 0.000

As for the total energy: -4.0195 eV per atom. Its crystal system is tetragonal.

***

Ti2ZnHPd | PBE | relaxed

Cell: 4.015 4.015 3.996 Å, 90.00 90.00 90.00°
Fractional positions:
Ti: 0.500 0.000 0.000
Ti: 0.000 0.500 0.000
Pd: 0.000 0.000 0.500
H: 0.000 0.000 0.000
Zn: 0.500 0.500 0.500

The calculation puts the distance to the lowest polymorph of the same formula at 0.000 eV per atom. Its crystal system is tetragonal.

***

Ti2ZnHPd | PBE | relaxed

Cell: 3.905 3.905 4.175 Å, 90.00 90.00 90.00°
Fractional positions:
Zn: 0.000 0.000 0.500
Ti: 0.000 0.500 0.000
Ti: 0.500 0.000 0.000
H: 0.000 0.000 0.000
Pd: 0.500 0.500 0.500

The calculation puts the distance to the lowest polymorph of the same formula at 0.013 eV per atom. Its crystal system is tetragonal.

***

ZrTi2HPd | PBE | relaxed

Cell: 4.048 4.048 4.445 Å, 90.00 90.00 90.00°
Fractional positions:
Ti: 0.500 0.000 0.000
Ti: 0.000 0.500 0.000
H: 0.000 0.000 0.000
Zr: 0.000 0.000 0.500
Pd: 0.500 0.500 0.500

The calculation puts the distance to the lowest polymorph of the same formula at 0.000 eV per atom. Its crystal system is tetragonal.

***

ZrTi2HPd | PBE | relaxed

Cell: 4.192 4.192 4.132 Å, 90.00 90.00 90.00°
Fractional positions:
H: 0.000 0.000 0.000
Ti: 0.500 0.000 0.000
Ti: 0.000 0.500 0.000
Pd: 0.000 0.000 0.500
Zr: 0.500 0.500 0.500

The calculation puts the distance to the lowest polymorph of the same formula at 0.093 eV per atom. Its crystal system is tetragonal.

***

TlHPd3 | PBE | relaxed

Cell: 10.729 7.591 7.591 Å, 78.92 123.96 56.04°
Fractional positions:
Pd: 0.915 0.269 0.352
Pd: 0.085 0.731 0.648
Pd: 0.415 0.652 0.718
Pd: 0.929 0.009 0.116
Pd: 0.571 0.616 0.509
Pd: 0.429 0.384 0.491
Pd: 0.585 0.852 0.769
Pd: 0.415 0.148 0.231
Pd: 0.915 0.782 0.848
Pd: 0.085 0.218 0.152
Pd: 0.585 0.348 0.282
Pd: 0.071 0.991 0.884
H: 0.250 0.815 0.315
H: 0.750 0.185 0.685
H: 0.750 0.456 0.956
H: 0.250 0.544 0.044
Tl: 0.922 0.516 0.644
Tl: 0.578 0.144 0.016
Tl: 0.078 0.484 0.356
Tl: 0.422 0.856 0.984

The calculation puts the distance to the lowest polymorph of the same formula at 0.160 eV per atom. Its crystal system is monoclinic.

***

TlHPd3 | PBE | relaxed

Cell: 19.619 7.688 7.688 Å, 150.77 158.87 21.13°
Fractional positions:
Pd: 0.269 0.673 0.327
Pd: 0.050 0.336 0.664
Pd: 0.608 0.671 0.329
Pd: 0.392 0.329 0.671
Pd: 0.731 0.327 0.673
Pd: 0.950 0.664 0.336
H: 0.703 0.868 0.132
H: 0.297 0.132 0.868
Tl: 0.219 0.924 0.076
Tl: 0.781 0.076 0.924

The calculation puts the distance to the lowest polymorph of the same formula at 0.126 eV per atom. Its crystal system is monoclinic.

***

TlHPd3 | PBE | relaxed

Cell: 7.646 7.646 7.646 Å, 60.00 60.00 60.00°
Fractional positions:
Pd: 0.813 0.187 0.187
Pd: 0.063 0.063 0.437
Pd: 0.813 0.187 0.813
Pd: 0.063 0.437 0.437
Pd: 0.437 0.063 0.437
Pd: 0.437 0.063 0.063
Pd: 0.187 0.813 0.187
Pd: 0.437 0.437 0.063
Pd: 0.063 0.437 0.063
Pd: 0.187 0.813 0.813
Pd: 0.813 0.813 0.187
Pd: 0.187 0.187 0.813
Tl: 0.625 0.125 0.625
Tl: 0.625 0.625 0.125
Tl: 0.125 0.625 0.625
Tl: 0.625 0.625 0.625
H: 0.625 0.125 0.125
H: 0.125 0.625 0.125
H: 0.125 0.125 0.125
H: 0.125 0.125 0.625

The calculation puts the distance to the lowest polymorph of the same formula at 0.130 eV per atom. Its crystal system is cubic.

***

TlH2Pd5 | PBE | relaxed

Cell: 3.967 3.967 7.519 Å, 105.30 105.30 90.00°
Fractional positions:
Pd: 0.653 0.153 0.306
Pd: 0.347 0.847 0.694
Pd: 0.153 0.653 0.306
Pd: 0.847 0.347 0.694
Pd: 0.000 0.000 0.000
H: 0.840 0.840 0.681
H: 0.160 0.160 0.319
Tl: 0.500 0.500 0.000

As for the total energy: -4.4236 eV per atom. Its crystal system is tetragonal.

***

| no. | volume (Å³ per cell) |
| --- | --- |
| 1 | 42.7 |
| 2 | 71.9 |
| 3 | 60.6 |
| 4 | 62.9 |
| 5 | 64.4 |
| 6 | 63.7 |
| 7 | 72.8 |
| 8 | 72.6 |
| 9 | 289.2 |
| 10 | 150.6 |
| 11 | 316.1 |
| 12 | 109.8 |